(1)
Te2OsW | GGA-PBE | optimized geometry

Lattice parameters (Å, degrees): 4.5744 4.5744 5.6066 78.71 78.71 41.13
Sites, in units of the cell vectors:
1 Te 0.0042 0.0042 0.9974
2 W 0.7500 0.7500 0.7500
3 Te 0.4958 0.4958 0.5026
4 Os 0.2500 0.2500 0.2500

Energy (eV per atom): -6.81
Space-group type: No. 12
Energy relative to the elements, uncorrected (eV per formula unit): 3.2

***

(2)
TeOsW2 | GGA-PBE | optimized geometry

Lattice parameters (Å, degrees): 3.0675 3.0675 7.1255 90.00 90.00 90.01
Sites, in units of the cell vectors:
1 W 0.0000 0.0000 0.0097
2 Os 0.5000 0.5000 0.2500
3 W 0.0000 0.0000 0.4903
4 Te 0.5000 0.5000 0.7500

Energy (eV per atom): -9.59
Space-group type: No. 123
Energy relative to the elements, uncorrected (eV per formula unit): 1.9

***

(3)
TeOsW | GGA-PBE | optimized geometry

Lattice parameters (Å, degrees): 3.0494 3.0492 13.1550 90.00 90.00 120.00
Sites, in units of the cell vectors:
1 W 0.4447 0.8895 0.5000
2 Te 0.7782 0.5563 0.6677
3 W 0.4442 0.8884 0.0000
4 Os 0.1107 0.2214 0.1553
5 Os 0.1107 0.2214 0.8447
6 Te 0.7782 0.5563 0.3323

Energy (eV per atom): -8.40
Space-group type: No. 187
Energy relative to the elements, uncorrected (eV per formula unit): 2.1

***

(4)
Te2OsW | GGA-PBE | optimized geometry

Lattice parameters (Å, degrees): 3.0272 3.9232 7.6879 90.00 90.00 90.00
Sites, in units of the cell vectors:
1 Os 0.5000 0.5000 0.7021
2 W 0.0000 0.0000 0.5523
3 Te 0.5000 0.5000 0.3387
4 Te 0.0000 0.0000 0.9070

Energy (eV per atom): -7.15
Space-group type: No. 25
Energy relative to the elements, uncorrected (eV per formula unit): 1.9

***

(5)
Te2OsW | GGA-PBE | optimized geometry

Lattice parameters (Å, degrees): 9.3219 9.3219 9.3219 20.12 20.12 20.12
Sites, in units of the cell vectors:
1 Os 0.5000 0.5000 0.5000
2 W 0.0000 0.0000 0.0000
3 Te 0.9044 0.9044 0.9044
4 Te 0.0956 0.0956 0.0956

Energy (eV per atom): -6.47
Space-group type: No. 166
Energy relative to the elements, uncorrected (eV per formula unit): 4.6

***

(6)
TeOsW2 | GGA-PBE | optimized geometry

Lattice parameters (Å, degrees): 3.1567 4.5836 4.6813 90.00 90.00 90.00
Sites, in units of the cell vectors:
1 Te 0.0000 0.5000 0.5000
2 W 0.5000 0.5000 0.0000
3 W 0.0000 0.0000 0.0000
4 Os 0.5000 0.0000 0.5000

Energy (eV per atom): -9.35
Space-group type: No. 47
Energy relative to the elements, uncorrected (eV per formula unit): 2.9

***

What did the second record say?
TeOsW2 | GGA-PBE | optimized geometry

Lattice parameters (Å, degrees): 3.0675 3.0675 7.1255 90.00 90.00 90.01
Sites, in units of the cell vectors:
1 W 0.0000 0.0000 0.0097
2 Os 0.5000 0.5000 0.2500
3 W 0.0000 0.0000 0.4903
4 Te 0.5000 0.5000 0.7500

Energy (eV per atom): -9.59
Space-group type: No. 123
Energy relative to the elements, uncorrected (eV per formula unit): 1.9

***

Question: Look up the energy relative to the elements, uncorrected of the sixth one.
Answer: 2.9 eV per formula unit

***

Question: The lowest energy belongs to which entry?
Answer: number 2

***

Question: The highest energy belongs to which entry?
Answer: number 5